# 1
This record from the Alexandria database describes Pr2HfFeO6 after structural relaxation. The functional is PBE with a Hubbard U.

abc: 5.6555 5.9387 9.7099
angles: 90.00 124.38 90.00
Closest atoms and distances in Å follow each position.
Fractional coordinates of all 20 atoms:
1 Pr 0.2294 0.0623 0.2482  6 O 2.38-2.66
2 Pr 0.2294 0.4377 0.7482  6 O 2.38-2.66
3 Pr 0.7706 0.5623 0.2518  6 O 2.38-2.66
4 Pr 0.7706 0.9377 0.7518  6 O 2.38-2.66
5 Hf 0.5000 0.0000 0.0000  6 O 2.07-2.10
6 Hf 0.5000 0.5000 0.5000  6 O 2.07-2.10
7 Fe 0.0000 0.0000 0.5000  6 O 2.14-2.22
8 Fe 0.0000 0.5000 0.0000  6 O 2.14-2.22
9 O 0.1480 0.1886 0.9449  1 Hf 2.07, 1 Fe 2.22
10 O 0.1480 0.3114 0.4449  1 Hf 2.07, 1 Fe 2.22
11 O 0.2544 0.7065 0.9421  1 Hf 2.10, 1 Fe 2.19
12 O 0.2544 0.7935 0.4421  1 Hf 2.10, 1 Fe 2.19
13 O 0.3630 0.0391 0.7514  1 Hf 2.09, 1 Fe 2.14
14 O 0.3630 0.4609 0.2514  1 Hf 2.09, 1 Fe 2.14
15 O 0.6370 0.5391 0.7486  1 Hf 2.09, 1 Fe 2.14
16 O 0.6370 0.9609 0.2486  1 Hf 2.09, 1 Fe 2.14
17 O 0.7456 0.2065 0.5579  1 Hf 2.10, 1 Fe 2.19
18 O 0.7456 0.2935 0.0579  1 Hf 2.10, 1 Fe 2.19
19 O 0.8520 0.6886 0.5551  1 Hf 2.07, 1 Fe 2.22
20 O 0.8520 0.8114 0.0551  1 Hf 2.07, 1 Fe 2.22

Output
Its theoretical density is 7.554 g cm⁻³. The value obtained for the magnetization is 8.0 Bohr magnetons per cell. Its volume is 269.14 Å³/cell. Its total energy is -8.53 eV/atom. The density of states at the Fermi level comes out at 0.000 states/eV/cell.

# 2
This record from the Alexandria database describes HfFeRu2O after structural relaxation. The functional is PBE with a Hubbard U.

abc: 4.1780 4.1780 4.1521
angles: 90.00 90.00 90.00
Closest atoms and distances in Å follow each position.
Fractional coordinates of all 5 atoms:
1 Hf 0.0000 0.0000 0.0000  2 O 2.08
2 Fe 0.5000 0.5000 0.0000  8 Ru 2.95, 4 Hf 2.95
3 Ru 0.0000 0.5000 0.5000  2 O 2.09
4 Ru 0.5000 0.0000 0.5000  2 O 2.09
5 O 0.0000 0.0000 0.5000  2 Hf 2.08, 4 Ru 2.09

Output
Its theoretical density is 10.366 g cm⁻³. The value obtained for the magnetization is 3.9 Bohr magnetons per cell. Its volume is 72.48 Å³/cell. Its total energy is -8.07 eV/atom. The density of states at the Fermi level comes out at 2.352 states/eV/cell.

# 3
This record from the Alexandria database describes HfSc2FeO6 after structural relaxation. The functional is PBE with a Hubbard U.

abc: 5.3603 5.3789 5.7009
angles: 117.31 90.95 119.61
Closest atoms and distances in Å follow each position.
Fractional coordinates of all 10 atoms:
1 Hf 0.0000 0.0000 0.0000  6 O 2.04-2.17
2 Sc 0.2096 0.4228 0.6268  6 O 2.08-2.25
3 Sc 0.7090 0.4202 0.1287  6 O 2.05-2.26
4 Fe 0.4938 0.9907 0.4925  5 O 2.08-2.29
5 O 0.0983 0.9052 0.3101  2 Sc 2.07-2.25, 1 Fe 2.08, 1 Hf 2.17
6 O 0.2943 0.9047 0.8205  1 Hf 2.04, 2 Sc 2.08-2.24, 1 Fe 2.29
7 O 0.3998 0.4873 0.3048  2 Sc 2.05-2.20, 1 Hf 2.15, 1 Fe 2.17
8 O 0.6123 0.5273 0.8212  1 Hf 2.04, 2 Sc 2.09-2.21
9 O 0.8181 0.2135 0.3057  2 Sc 2.06-2.16, 1 Hf 2.15, 1 Fe 2.18
10 O 0.9038 0.1997 0.8093  1 Hf 2.05, 2 Sc 2.11-2.26, 1 Fe 2.22

Output
Its theoretical density is 5.790 g cm⁻³. The value obtained for the magnetization is 4.0 Bohr magnetons per cell. Its volume is 120.52 Å³/cell. Its total energy is -8.88 eV/atom. The density of states at the Fermi level comes out at 0.000 states/eV/cell.

# 4
This record from the Alexandria database describes HfFe2SiO6 after structural relaxation. The functional is PBE with a Hubbard U.

abc: 5.1539 5.1608 5.4090
angles: 62.02 61.73 60.20
Closest atoms and distances in Å follow each position.
Fractional coordinates of all 10 atoms:
1 Hf 0.0000 0.0000 0.0000  6 O 2.04-2.19
2 Fe 0.2038 0.2088 0.3763  6 O 2.09-2.23
3 Fe 0.7033 0.7163 0.8526  6 O 2.06-2.29
4 Si 0.4989 0.5052 0.4923  6 O 1.78-1.88
5 O 0.1628 0.7576 0.6947  1 Si 1.79
6 O 0.2858 0.6250 0.2344  1 Si 1.87, 1 Hf 2.04
7 O 0.3807 0.1723 0.6998  1 Si 1.78
8 O 0.6236 0.8519 0.2255  1 Si 1.88, 1 Hf 2.05
9 O 0.7444 0.3955 0.6994  1 Si 1.79
10 O 0.8477 0.2899 0.2369  1 Si 1.86, 1 Hf 2.04

Output
Its theoretical density is 6.571 g cm⁻³. The value obtained for the magnetization is 8.0 Bohr magnetons per cell. Its volume is 104.68 Å³/cell. Its total energy is -7.98 eV/atom. The density of states at the Fermi level comes out at 0.000 states/eV/cell.

# 5
This record from the Alexandria database describes SmHfFe2O6 after structural relaxation. The functional is PBE with a Hubbard U.

abc: 5.3623 5.3720 5.7127
angles: 62.08 89.34 60.09
Closest atoms and distances in Å follow each position.
Fractional coordinates of all 10 atoms:
1 Sm 0.0000 0.0000 0.0000  6 O 2.27-2.51
2 Hf 0.5225 0.9576 0.5551  6 O 2.07-2.15
3 Fe 0.2177 0.5690 0.6390  6 O 1.95-2.05
4 Fe 0.7315 0.5360 0.1832  5 O 2.05-2.27
5 O 0.1320 0.0340 0.3889  2 Fe 2.01-2.14, 1 Hf 2.07
6 O 0.3600 0.0858 0.8501  1 Fe 1.97, 1 Hf 2.13
7 O 0.4426 0.4370 0.3813  2 Fe 2.05, 1 Hf 2.08
8 O 0.5550 0.5023 0.8476  1 Fe 1.95, 1 Hf 2.14
9 O 0.8395 0.7320 0.3870  2 Fe 2.02-2.14, 1 Hf 2.07
10 O 0.9364 0.6928 0.8607  2 Fe 2.02-2.18, 1 Hf 2.15

Output
Its theoretical density is 7.385 g cm⁻³. The value obtained for the magnetization is 5.0 Bohr magnetons per cell. Its volume is 120.64 Å³/cell. Its total energy is -7.95 eV/atom. The density of states at the Fermi level comes out at 0.000 states/eV/cell.

# 6
This record from the Alexandria database describes SrSmHfFeO6 after structural relaxation. The functional is PBE with a Hubbard U.

abc: 5.5892 5.5892 5.5892
angles: 60.00 60.00 60.00
Closest atoms and distances in Å follow each position.
Fractional coordinates of all 10 atoms:
1 Sr 0.0000 0.0000 0.0000  12 O 2.80
2 Sm 0.5000 0.5000 0.5000  12 O 2.80
3 Hf 0.2500 0.2500 0.2500  6 O 2.04
4 Fe 0.7500 0.7500 0.7500  6 O 1.92
5 O 0.5076 0.5076 0.9924  1 Fe 1.92, 1 Hf 2.04
6 O 0.5076 0.9924 0.5076  1 Fe 1.92, 1 Hf 2.04
7 O 0.5076 0.9924 0.9924  1 Fe 1.92, 1 Hf 2.04
8 O 0.9924 0.5076 0.5076  1 Fe 1.92, 1 Hf 2.04
9 O 0.9924 0.5076 0.9924  1 Fe 1.92, 1 Hf 2.04
10 O 0.9924 0.9924 0.5076  1 Fe 1.92, 1 Hf 2.04

Output
Its theoretical density is 7.644 g cm⁻³. The value obtained for the magnetization is 1.0 Bohr magnetons per cell. Its volume is 123.46 Å³/cell. Its total energy is -7.71 eV/atom. The density of states at the Fermi level comes out at 5.120 states/eV/cell.

Repeat the fifth record exactly.
This record from the Alexandria database describes SmHfFe2O6 after structural relaxation. The functional is PBE with a Hubbard U.

abc: 5.3623 5.3720 5.7127
angles: 62.08 89.34 60.09
Closest atoms and distances in Å follow each position.
Fractional coordinates of all 10 atoms:
1 Sm 0.0000 0.0000 0.0000  6 O 2.27-2.51
2 Hf 0.5225 0.9576 0.5551  6 O 2.07-2.15
3 Fe 0.2177 0.5690 0.6390  6 O 1.95-2.05
4 Fe 0.7315 0.5360 0.1832  5 O 2.05-2.27
5 O 0.1320 0.0340 0.3889  2 Fe 2.01-2.14, 1 Hf 2.07
6 O 0.3600 0.0858 0.8501  1 Fe 1.97, 1 Hf 2.13
7 O 0.4426 0.4370 0.3813  2 Fe 2.05, 1 Hf 2.08
8 O 0.5550 0.5023 0.8476  1 Fe 1.95, 1 Hf 2.14
9 O 0.8395 0.7320 0.3870  2 Fe 2.02-2.14, 1 Hf 2.07
10 O 0.9364 0.6928 0.8607  2 Fe 2.02-2.18, 1 Hf 2.15

Output
Its theoretical density is 7.385 g cm⁻³. The value obtained for the magnetization is 5.0 Bohr magnetons per cell. Its volume is 120.64 Å³/cell. Its total energy is -7.95 eV/atom. The density of states at the Fermi level comes out at 0.000 states/eV/cell.

Which of these has the highest volume? Pr2HfFeO6